# 1
First-principles (PBE) data for an optimized crystal structure of Cs4TlO4, as listed in the Alexandria database.

Unit cell a=7.197 b=7.197 c=7.197 alpha=100.23 beta=100.23 gamma=130.14
Element x y z (fractional)
Cs 0.118 0.303 0.421
Cs 0.303 0.882 0.186
Cs 0.697 0.118 0.814
Cs 0.882 0.697 0.579
Tl 0.500 0.500 0.000
O 0.277 0.570 0.847
O 0.430 0.277 0.707
O 0.570 0.723 0.293
O 0.723 0.430 0.153

Crystal system: tetragonal
Symmetry: I4/m, No. 87
Final energy, eV per atom: -3.775

***

# 2
First-principles (PBE) data for an optimized crystal structure of Sb2TeAuN, as listed in the Alexandria database.

Unit cell a=5.360 b=5.360 c=5.383 alpha=90.00 beta=90.00 gamma=90.00
Element x y z (fractional)
Sb 0.000 0.500 0.000
Sb 0.500 0.000 0.000
Te 0.000 0.000 0.500
Au 0.000 0.000 0.000
N 0.500 0.500 0.500

Crystal system: tetragonal
Symmetry: P4/mmm, No. 123
Offset from the most stable computed form, kcal/mol of atoms: 25.55

***

The records above give, respectively, magnetic moment values of 1.1, 0.0 μB/cell.